Entry from the Alexandria database: a PBEsol-optimized structure of Y5Ag3 (SCAN).

Computed properties:
- distance to the lowest polymorph of the same formula (eV/f.u.) = 0.00
- SG = I4/mcm (140)

Lattice parameters (Å, degrees): 9.222 9.222 9.222 133.18 133.18 68.37
Fractional positions:
Y 0.000 0.000 0.000
Y 0.014 0.514 0.832
Y 0.182 0.014 0.500
Y 0.318 0.818 0.832
Y 0.486 0.318 0.500
Y 0.500 0.500 0.000
Y 0.514 0.682 0.500
Y 0.682 0.182 0.168
Y 0.818 0.986 0.500
Y 0.986 0.486 0.168
Ag 0.131 0.369 0.500
Ag 0.250 0.250 0.000
Ag 0.369 0.869 0.238
Ag 0.631 0.131 0.762
Ag 0.750 0.750 0.000
Ag 0.869 0.631 0.500



Entry from the Alexandria database: a PBEsol-optimized structure of Li2TaC2 (SCAN).

Computed properties:
- distance to the lowest polymorph of the same formula (eV/f.u.) = 0.00
- SG = I4/mmm (139)

Lattice parameters (Å, degrees): 4.256 4.256 4.256 130.65 130.65 72.37
Fractional positions:
Li 0.143 0.143 0.000
Li 0.857 0.857 0.000
Ta 0.500 0.500 0.000
C 0.250 0.750 0.500
C 0.750 0.250 0.500



Entry from the Alexandria database: a PBEsol-optimized structure of YSe4 (SCAN).

Computed properties:
- SG = I4/mmm (139)

Lattice parameters (Å, degrees): 5.796 5.796 5.796 123.46 123.46 84.10
Fractional positions:
Y 0.000 0.000 0.000
Se 0.250 0.750 0.500
Se 0.309 0.309 0.000
Se 0.691 0.691 0.000
Se 0.750 0.250 0.500



Entry from the Alexandria database: a PBEsol-optimized structure of CuGe2Br (SCAN).

Computed properties:
- SG = Fm-3m (225)

Lattice parameters (Å, degrees): 4.694 4.694 4.694 60.00 60.00 60.00
Fractional positions:
Cu 0.000 0.000 0.000
Ge 0.250 0.250 0.250
Ge 0.750 0.750 0.750
Br 0.500 0.500 0.500



Entry from the Alexandria database: a PBEsol-optimized structure of Li2LaMg (SCAN).

Computed properties:
- SG = P4/mmm (123)

Lattice parameters (Å, degrees): 3.459 3.459 7.878 90.00 90.00 90.00
Fractional positions:
Li 0.000 0.000 0.206
Li 0.000 0.000 0.794
La 0.500 0.500 0.500
Mg 0.500 0.500 0.000



Entry from the Alexandria database: a PBEsol-optimized structure of Tl2PtCl (SCAN).

Computed properties:
- distance to the lowest polymorph of the same formula (eV/f.u.) = 1.06
- SG = Immm (71)

Lattice parameters (Å, degrees): 5.132 5.132 5.132 128.39 115.30 87.22
Fractional positions:
Tl 0.229 0.229 0.000
Tl 0.771 0.771 0.000
Pt 0.000 0.500 0.500
Cl 0.500 0.000 0.500



Entry from the Alexandria database: a PBEsol-optimized structure of FeCoNi2 (SCAN).

Computed properties:
- SG = C2/m (12)

Lattice parameters (Å, degrees): 4.286 4.286 4.233 99.78 99.78 33.46
Fractional positions:
Fe 0.000 0.000 0.000
Co 0.500 0.500 0.500
Ni 0.249 0.249 0.747
Ni 0.751 0.751 0.253



Entry from the Alexandria database: a PBEsol-optimized structure of GaBrF2 (SCAN).

Computed properties:
- SG = R-3m (166)

Lattice parameters (Å, degrees): 8.879 8.879 8.879 21.03 21.03 21.03
Fractional positions:
Ga 0.000 0.000 0.000
Br 0.500 0.500 0.500
F 0.370 0.370 0.370
F 0.630 0.630 0.630



Entry from the Alexandria database: a PBEsol-optimized structure of BWSeF2 (SCAN).

Computed properties:
- SG = P4/mmm (123)

Lattice parameters (Å, degrees): 3.720 3.720 5.679 90.00 90.00 90.00
Fractional positions:
B 0.000 0.000 0.000
W 0.500 0.500 0.000
Se 0.000 0.000 0.500
F 0.000 0.500 0.500
F 0.500 0.000 0.500



Entry from the Alexandria database: a PBEsol-optimized structure of KPtSe (SCAN).

Computed properties:
- SG = P-6m2 (187)

Lattice parameters (Å, degrees): 4.187 4.187 5.003 90.00 90.00 120.00
Fractional positions:
K 0.000 0.000 0.000
Pt 0.333 0.667 0.500
Se 0.667 0.333 0.500



Entry from the Alexandria database: a PBEsol-optimized structure of SbIrCl2O (SCAN).

Computed properties:
- SG = P4/mmm (123)

Lattice parameters (Å, degrees): 5.272 5.272 3.914 90.00 90.00 90.00
Fractional positions:
Sb 0.000 0.000 0.000
Ir 0.500 0.500 0.500
Cl 0.000 0.500 0.000
Cl 0.500 0.000 0.000
O 0.000 0.000 0.500



Entry from the Alexandria database: a PBEsol-optimized structure of Zr2InNi2 (SCAN).

Computed properties:
- SG = P4_2/mnm (136)

Lattice parameters (Å, degrees): 7.111 7.111 6.600 90.00 90.00 90.00
Fractional positions:
Zr 0.160 0.160 0.000
Zr 0.177 0.177 0.500
Zr 0.323 0.677 0.000
Zr 0.340 0.660 0.500
Zr 0.660 0.340 0.500
Zr 0.677 0.323 0.000
Zr 0.823 0.823 0.500
Zr 0.840 0.840 0.000
In 0.000 0.500 0.250
In 0.000 0.500 0.750
In 0.500 0.000 0.250
In 0.500 0.000 0.750
Ni 0.125 0.875 0.272
Ni 0.125 0.875 0.728
Ni 0.375 0.375 0.228
Ni 0.375 0.375 0.772
Ni 0.625 0.625 0.228
Ni 0.625 0.625 0.772
Ni 0.875 0.125 0.272
Ni 0.875 0.125 0.728



Computed E_tot, in the same sequence as the records: -2.16419, -1.27918, -1.62186, -1.28606, -0.96806, -4.10089, -1.24829, -0.88324, -1.46363, -2.46527, -1.87410, -1.91318 Ry per atom.
Computed DOS at the Fermi energy, in the same sequence as the records: 10.64, 1.64, 1.80, 2.05, 3.17, 1.86, 3.07, 1.95, 1.36, 2.31, 4.06, 2.98 states/eV/f.u..
Computed total magnetization, in the same sequence as the records: 0.23, 0.00, 0.00, 0.00, 0.08, 0.00, 6.02, 0.00, 3.01, 0.00, 3.43, 0.00 μB per formula unit.